<i>
Compound: Tl2PdPb2
Source: Alexandria
Functional: GGA-PBE
Structure: relaxed

Cell: 7.2851 7.2851 5.4687 Å, 90.00 90.00 90.00°
Positions (direct):
Tl  0.1639  0.3361  0.0000
Tl  0.3361  0.8361  0.0000
Tl  0.6639  0.1639  0.0000
Tl  0.8361  0.6639  0.0000
Pd  0.0000  0.0000  0.5000
Pd  0.5000  0.5000  0.5000
Pb  0.1562  0.6562  0.5000
Pb  0.3438  0.1562  0.5000
Pb  0.6562  0.8438  0.5000
Pb  0.8438  0.3438  0.5000

Output
magnetization = 0.00 μB per formula unit
density of states at the Fermi level = 0.266 states/eV per atom
density = 10637 kg/m3

---

<ii>
Compound: Tl2PdPb2
Source: Alexandria
Functional: GGA-PBE
Structure: relaxed

Cell: 7.2971 7.2971 5.2279 Å, 90.00 90.00 90.00°
Positions (direct):
Tl  0.1535  0.3465  0.0000
Tl  0.3465  0.8465  0.0000
Tl  0.6535  0.1535  0.0000
Tl  0.8465  0.6535  0.0000
Pd  0.0000  0.0000  0.0000
Pd  0.5000  0.5000  0.0000
Pb  0.1646  0.6646  0.5000
Pb  0.3354  0.1646  0.5000
Pb  0.6646  0.8354  0.5000
Pb  0.8354  0.3354  0.5000

Output
magnetization = 0.00 μB per formula unit
density of states at the Fermi level = 0.224 states/eV per atom
density = 11090 kg/m3

---

Which of them is most stable, and which least? Most stable: <i>; least stable: <ii>.

---

<i>
Compound: TlPd3Pb
Source: Alexandria
Functional: GGA-PBE
Structure: relaxed

Cell: 5.0700 5.0700 5.0700 Å, 90.00 90.00 90.00°
Positions (direct):
Tl  0.0000  0.0000  0.0000
Pd  0.0000  0.0000  0.5000
Pd  0.0000  0.5000  0.0000
Pd  0.5000  0.0000  0.0000
Pb  0.5000  0.5000  0.5000

Output
magnetization = 0.00 μB per formula unit
density of states at the Fermi level = 0.397 states/eV per atom
density = 9312 kg/m3

---

<ii>
Compound: TlPd3Pb
Source: Alexandria
Functional: GGA-PBE
Structure: relaxed

Cell: 4.3516 8.3988 5.8241 Å, 90.00 90.00 90.00°
Positions (direct):
Tl  0.0000  0.1193  0.0000
Tl  0.0000  0.8807  0.5000
Pd  0.0000  0.2029  0.4588
Pd  0.0000  0.4629  0.9191
Pd  0.0000  0.5371  0.4191
Pd  0.0000  0.7971  0.9588
Pd  0.5000  0.3244  0.1777
Pd  0.5000  0.6756  0.6777
Pb  0.5000  0.3399  0.6641
Pb  0.5000  0.6601  0.1641

Output
magnetization = 0.00 μB per formula unit
density of states at the Fermi level = 0.317 states/eV per atom
density = 11403 kg/m3

---

<iii>
Compound: TlPd3Pb
Source: Alexandria
Functional: GGA-PBE
Structure: relaxed

Cell: 5.1247 5.1247 5.1247 Å, 90.00 90.00 90.00°
Positions (direct):
Tl  0.0000  0.0000  0.0000
Pd  0.0000  0.5000  0.5000
Pd  0.5000  0.0000  0.5000
Pd  0.5000  0.5000  0.0000
Pb  0.5000  0.5000  0.5000

Output
magnetization = 0.00 μB per formula unit
density of states at the Fermi level = 1.103 states/eV per atom
density = 9017 kg/m3

---

Which of them is most stable, and which least? Most stable: <ii>; least stable: <iii>.